A relaxed Sc2OsSe crystal. Source: Alexandria, functional PBE.

Geometry as POSCAR:
```
Sc2OsSe
1.0
1.7290 0.9982 7.4289
-1.7290 0.9982 7.4289
0.0000 -1.9965 7.4289
Sc Os Se
2 1 1
Direct
0.2502 0.2502 0.2502
0.7498 0.7498 0.7498
0.5000 0.5000 0.5000
0.0000 0.0000 0.0000
```

Values from the calculation:
Crystal system = trigonal
Uncorrected formation energy = -0.694 eV/atom



A relaxed CsCuPSe3 crystal. Source: Alexandria, functional PBE.

Geometry as POSCAR:
```
CsCuPSe3
1.0
10.1837 0.0000 0.0000
0.0000 13.4206 0.0000
-2.5312 0.0000 10.6233
Cs Cu P Se
8 8 8 24
Direct
0.1113 0.1819 0.1191
0.1113 0.3181 0.6191
0.3721 0.6521 0.8380
0.3721 0.8479 0.3380
0.6279 0.1521 0.6620
0.6279 0.3479 0.1620
0.8887 0.6819 0.3809
0.8887 0.8181 0.8809
0.0430 0.0470 0.4032
0.0430 0.4530 0.9032
0.4754 0.5986 0.4631
0.4754 0.9014 0.9631
0.5246 0.0986 0.0369
0.5246 0.4014 0.5369
0.9570 0.5470 0.0968
0.9570 0.9530 0.5968
0.2184 0.0360 0.8342
0.2184 0.4640 0.3342
0.2815 0.5425 0.1686
0.2815 0.9575 0.6686
0.7185 0.0425 0.3314
0.7185 0.4575 0.8314
0.7816 0.5360 0.6658
0.7816 0.9640 0.1658
0.0050 0.0783 0.7576
0.0050 0.4217 0.2576
0.1358 0.6664 0.1152
0.1358 0.8336 0.6152
0.2494 0.5764 0.4867
0.2494 0.9236 0.9867
0.2709 0.0713 0.5181
0.2709 0.4287 0.0181
0.3461 0.1715 0.8816
0.3461 0.3285 0.3816
0.4914 0.5922 0.2468
0.4914 0.9078 0.7468
0.5086 0.0922 0.2532
0.5086 0.4078 0.7532
0.6539 0.6715 0.6184
0.6539 0.8285 0.1184
0.7291 0.5713 0.9819
0.7291 0.9287 0.4819
0.7506 0.0764 0.0133
0.7506 0.4236 0.5133
0.8642 0.1664 0.3848
0.8642 0.3336 0.8848
0.9950 0.5783 0.7424
0.9950 0.9217 0.2424
```

Values from the calculation:
Crystal system = monoclinic
Uncorrected formation energy = -0.526 eV/atom



A relaxed PrDyEr3Sc crystal. Source: Alexandria, functional PBE.

Geometry as POSCAR:
```
PrDyEr3Sc
1.0
2.4804 -7.4275 0.0000
2.4804 7.4275 0.0000
0.0000 0.0000 9.9498
Pr Dy Er Sc
2 2 6 2
Direct
0.0024 0.9976 0.7500
0.9976 0.0024 0.2500
0.5000 0.5000 0.0000
0.5000 0.5000 0.5000
0.1686 0.8314 0.0003
0.1686 0.8314 0.4997
0.3297 0.6703 0.7500
0.6703 0.3297 0.2500
0.8314 0.1686 0.9997
0.8314 0.1686 0.5003
0.3311 0.6689 0.2500
0.6689 0.3311 0.7500
```

Values from the calculation:
Crystal system = orthorhombic
E_form = 0.04 eV per atom



A relaxed Pm3PbSeO crystal. Source: Alexandria, functional PBE.

Geometry as POSCAR:
```
Pm3PbSeO
1.0
9.0273 0.0000 0.0000
0.0000 4.1520 0.0000
-1.8526 0.0000 9.0285
Pm Pb Se O
6 2 2 2
Direct
0.0803 0.2500 0.3392
0.3372 0.2500 0.9830
0.3930 0.7500 0.6477
0.6070 0.2500 0.3523
0.6628 0.7500 0.0170
0.9197 0.7500 0.6608
0.3241 0.7500 0.2766
0.6759 0.2500 0.7234
0.1553 0.2500 0.6644
0.8447 0.7500 0.3356
0.4108 0.7500 0.9068
0.5892 0.2500 0.0932
```

Values from the calculation:
Crystal system = monoclinic
Uncorrected formation energy = -1.731 eV/atom



A relaxed Ba12Tl2In5 crystal. Source: Alexandria, functional PBE.

Geometry as POSCAR:
```
Ba12Tl2In5
1.0
9.3904 -4.3214 0.0000
9.3904 4.3214 0.0000
-1.2418 0.0000 11.5718
Ba Tl In
12 2 5
Direct
0.0215 0.0215 0.2863
0.0667 0.5625 0.8741
0.0973 0.6037 0.4336
0.3963 0.9027 0.5664
0.4375 0.9333 0.1259
0.4438 0.4438 0.1778
0.5562 0.5562 0.8222
0.5625 0.0667 0.8741
0.6037 0.0973 0.4336
0.9027 0.3963 0.5664
0.9333 0.4375 0.1259
0.9785 0.9785 0.7137
0.1836 0.8164 0.0000
0.8164 0.1836 0.0000
0.1497 0.1497 0.8700
0.2111 0.2111 0.3569
0.5000 0.5000 0.5000
0.7889 0.7889 0.6431
0.8503 0.8503 0.1300
```

Values from the calculation:
Crystal system = monoclinic
E_form = -0.21 eV per atom



A relaxed LiMgSn2O crystal. Source: Alexandria, functional PBE.

Geometry as POSCAR:
```
LiMgSn2O
1.0
5.1216 0.0000 0.0000
0.0000 5.1216 0.0000
0.0000 0.0000 3.6399
Li Mg Sn O
1 1 2 1
Direct
0.0000 0.0000 0.0000
0.5000 0.5000 0.0000
0.0000 0.5000 0.5000
0.5000 0.0000 0.5000
0.0000 0.0000 0.5000
```

Values from the calculation:
Crystal system = tetragonal
Uncorrected formation energy = -0.655 eV/atom